This record from Alexandria via LeMat-Bulk describes LiDyNiAu after structural relaxation. The functional is PBE.

Structure (CIF):
```
data_LiDyNiAu
_chemical_formula_sum 'Li4 Dy4 Ni4 Au4'
_cell_length_a 6.652
_cell_length_b 6.652
_cell_length_c 6.652
_cell_angle_alpha 90.00
_cell_angle_beta 90.00
_cell_angle_gamma 90.00
_space_group_name_H-M_alt 'F -4 3 m'
_space_group_IT_number 216
_space_group_name_Hall 'F -4 2 3'
loop_
_atom_site_label
_atom_site_fract_x
_atom_site_fract_y
_atom_site_fract_z
Li1 0.000 0.000 0.000
Dy1 0.000 0.000 0.500
Ni1 0.250 0.250 0.750
Au1 0.250 0.250 0.250
```

Values from the calculation:
Formation energy   -0.390 eV per atom
Total magnetic moment   0.0000 μB per atom